(one)
Material: Li2H6Ru
Method: DFT, PBE
State: relaxed

Structure (POSCAR):
```
Li2H6Ru
1.0
3.916 0.000 0.000
0.000 3.916 0.000
0.000 0.000 9.177
H Ru Li
12 2 4
direct
0.805 0.195 0.500 H
0.695 0.695 0.000 H
0.835 0.165 0.844 H
0.165 0.835 0.844 H
0.665 0.665 0.656 H
0.665 0.665 0.344 H
0.335 0.335 0.344 H
0.195 0.805 0.500 H
0.335 0.335 0.656 H
0.835 0.165 0.156 H
0.165 0.835 0.156 H
0.305 0.305 0.000 H
0.500 0.500 0.500 Ru
0.000 0.000 0.000 Ru
0.500 0.500 0.162 Li
0.000 0.000 0.338 Li
0.000 0.000 0.662 Li
0.500 0.500 0.838 Li
```

Summary:
total magnetic moment = 1.65 μB/f.u.
space-group type = P4_2/mnm (136)

(two)
Material: Li2H6Ru
Method: DFT, PBE
State: relaxed

Structure (POSCAR):
```
Li2H6Ru
1.0
3.955 0.000 2.284
1.318 3.729 2.284
0.000 0.000 4.567
Ru H Li
1 6 2
direct
0.000 0.000 0.000 Ru
0.736 0.736 0.264 H
0.736 0.264 0.264 H
0.264 0.264 0.736 H
0.736 0.264 0.736 H
0.264 0.736 0.736 H
0.264 0.736 0.264 H
0.750 0.750 0.750 Li
0.250 0.250 0.250 Li
```

Summary:
total magnetic moment = 1.65 μB/f.u.
space-group type = Fm-3m (225)

(three)
Material: Li2H6Ru
Method: DFT, PBE
State: relaxed

Structure (POSCAR):
```
Li2H6Ru
1.0
2.875 0.000 -0.929
-0.693 4.111 -2.144
0.103 0.070 5.226
Ru H Li
1 6 2
direct
0.000 0.000 0.000 Ru
0.500 0.199 0.000 H
0.856 0.619 0.711 H
0.144 0.381 0.289 H
0.500 0.801 0.000 H
0.856 0.093 0.711 H
0.144 0.907 0.289 H
0.672 0.673 0.345 Li
0.328 0.327 0.655 Li
```

Summary:
total magnetic moment = 0.00 μB/f.u.
space-group type = Immm (71)

Most stable structure - (three); separation to the second - 312 meV/atom.